Compound: Ca2PtPbO6
Source: Alexandria via LeMat-Bulk
Functional: PBE
Structure: relaxed

The structure belongs to space group P2_1/c (No. 14); the cell edges are 5.613, 5.847 and 9.723 Å and the angles 90.00°, 124.22° and 90.00°. The asymmetric unit holds Ca at (0.227, 0.064, 0.248), Pt at (0.000, 0.000, 0.500), Pb at (0.500, 0.000, 0.000), O at (0.114, 0.210, 0.933), O at (0.227, 0.691, 0.934) and O at (0.360, 0.053, 0.736).

Its calculated total energy is -120.0 eV/cell. For the spin magnetization, the calculation gives 0.00 μB per atom. The calculation puts the energy relative to the elements, uncorrected at -1.65 eV/atom.

=====

Compound: Li5Tc4
Source: Alexandria via LeMat-Bulk
Functional: PBE
Structure: relaxed

The structure belongs to space group I4/mmm (No. 139); the cell edges are 9.696, 9.696 and 2.846 Å and the angles 90.00°, 90.00° and 90.00°. The asymmetric unit holds Li at (0.000, 0.000, 0.000), Li at (0.167, 0.167, 0.500) and Tc at (0.000, 0.343, 0.000).

As for the formation energy from the elements: 321 meV per atom. Its calculated total energy is -96.3 eV/cell. For the spin magnetization, the calculation gives 0.00 μB per atom.

=====

Compound: CeDyTh
Source: Alexandria via LeMat-Bulk
Functional: PBE
Structure: relaxed

The structure belongs to space group Pmmm (No. 47); the cell edges are 3.390, 5.589 and 5.797 Å and the angles 90.00°, 90.00° and 90.00°. The asymmetric unit holds Ce at (0.000, 0.000, 0.000), Dy at (0.000, 0.500, 0.500) and Th at (0.500, 0.500, 0.000).

As for the formation energy from the elements: 526 meV per atom. Its calculated total energy is -16.4 eV/cell. The relative energy among the computed polymorphs is 503 meV/atom. For the spin magnetization, the calculation gives 0.21 μB per atom.